(1)
The following is a DFT calculation (PBE) of a relaxed CePrTl crystal.

abc: 11.7528 11.7469 5.9633
angles: 75.35 75.25 29.40
Closest atoms and distances in Å follow each position.
Atoms (fractional coordinates):
1 Ce 0.0000 0.0000 0.0000  2 Ce 2.98, 2 Pr 3.16, 2 Tl 3.33
2 Ce 0.0000 0.0000 0.5000  2 Ce 2.98, 2 Pr 3.16, 2 Tl 3.33
3 Ce 0.0000 0.5000 0.0000  2 Ce 2.98, 2 Pr 3.16, 2 Tl 3.33
4 Ce 0.5000 0.0000 0.0000  2 Ce 2.98, 2 Pr 3.16, 2 Tl 3.33
5 Pr 0.1382 0.6118 0.6118  2 Ce 3.16, 4 Tl 3.40-3.45
6 Pr 0.3882 0.8618 0.8618  2 Ce 3.16, 4 Tl 3.40-3.45
7 Pr 0.6118 0.1382 0.1382  2 Ce 3.16, 4 Tl 3.40-3.45
8 Pr 0.8618 0.3882 0.3882  2 Ce 3.16, 4 Tl 3.40-3.45
9 Tl 0.2466 0.2466 0.5034  2 Tl 2.99, 4 Ce 3.33-3.34
10 Tl 0.4966 0.4966 0.7534  2 Tl 2.99, 4 Ce 3.33-3.34
11 Tl 0.5034 0.5034 0.2466  2 Tl 2.99, 4 Ce 3.33-3.34
12 Tl 0.7534 0.7534 0.4966  2 Tl 2.99, 4 Ce 3.33-3.34

Values from the calculation:
Symmetry: Fddd (70)
Formation energy, kJ/mol of formula units: 26
E above lowest polymorph, meV/atom: 222.0

---

(2)
The following is a DFT calculation (PBE) of a relaxed ScZnSI2 crystal.

abc: 5.6870 5.6870 4.4715
angles: 90.00 90.00 90.00
Closest atoms and distances in Å follow each position.
Atoms (fractional coordinates):
1 Sc 0.0000 0.0000 0.0000  8 I 3.62, 4 S 4.02
2 Zn 0.5000 0.5000 0.5000  2 S 2.24
3 S 0.5000 0.5000 0.0000  2 Zn 2.24
4 I 0.0000 0.5000 0.5000  2 Zn 2.84
5 I 0.5000 0.0000 0.5000  2 Zn 2.84

Values from the calculation:
Symmetry: P4/mmm (123)
Formation energy (no corrections), eV/f.u.: -0.49

---

Going through the records in order, we get M_tot values of 0.320 0.183 μB/atom.